Arrangement P

ZrZn2Cu2 | PBE | optimized geometry

Properties
The symmetry is No. 127. The calculation puts the total magnetic moment at 0.0 μB/f.u.

Structure (POSCAR):
```
ZrZn2Cu2
1.0
7.438 0.000 0.000
0.000 7.438 0.000
0.000 0.000 2.705
Zr Zn Cu
2 4 4
direct
0.000 0.000 0.000 Zr
0.500 0.500 0.000 Zr
0.123 0.377 0.000 Zn
0.377 0.877 0.000 Zn
0.623 0.123 0.000 Zn
0.877 0.623 0.000 Zn
0.174 0.674 0.500 Cu
0.326 0.174 0.500 Cu
0.674 0.826 0.500 Cu
0.826 0.326 0.500 Cu
```

=====

Arrangement Q

ZrZn2Cu2 | PBE | optimized geometry

Properties
The symmetry is No. 127. The calculation puts the total magnetic moment at 0.0 μB/f.u.

Structure (POSCAR):
```
ZrZn2Cu2
1.0
7.435 0.000 0.000
0.000 7.435 0.000
0.000 0.000 2.703
Zr Zn Cu
2 4 4
direct
0.000 0.000 0.000 Zr
0.500 0.500 0.000 Zr
0.172 0.328 0.500 Zn
0.328 0.828 0.500 Zn
0.672 0.172 0.500 Zn
0.828 0.672 0.500 Zn
0.123 0.623 0.000 Cu
0.377 0.123 0.000 Cu
0.623 0.877 0.000 Cu
0.877 0.377 0.000 Cu
```

=====

Quick ranking, most stable first: arrangement Q, arrangement P.

=====

Arrangement P

Zr2Zn2Cu | PBE | optimized geometry

Properties
The symmetry is No. 12. The calculation puts the total magnetic moment at 0.0 μB/f.u.

Structure (POSCAR):
```
Zr2Zn2Cu
1.0
4.945 -2.160 0.000
4.945 2.160 0.000
-3.445 0.000 8.270
Zr Zn Cu
4 4 2
direct
0.022 0.022 0.333 Zr
0.177 0.177 0.087 Zr
0.823 0.823 0.913 Zr
0.978 0.978 0.667 Zr
0.361 0.361 0.427 Zn
0.481 0.481 0.129 Zn
0.519 0.519 0.871 Zn
0.639 0.639 0.573 Zn
0.266 0.266 0.666 Cu
0.734 0.734 0.334 Cu
```

=====

Arrangement Q

Zr2Zn2Cu | PBE | optimized geometry

Properties
The symmetry is No. 65. The calculation puts the total magnetic moment at 0.0 μB/f.u.

Structure (POSCAR):
```
Zr2Zn2Cu
1.0
1.583 -9.796 0.000
1.583 9.796 0.000
0.000 0.000 2.919
Zr Zn Cu
2 2 1
direct
0.096 0.904 0.000 Zr
0.904 0.096 0.000 Zr
0.302 0.698 0.500 Zn
0.698 0.302 0.500 Zn
0.500 0.500 0.500 Cu
```

=====

Quick ranking, most stable first: arrangement P, arrangement Q.